Ba3TbIn4: optimized geometry, PBE-GGA.

energy of formation from the pure elements = -394 meV per atom
space-group type = P4/mmm

extended XYZ file:
```
8
Lattice="4.092 0.000 0.000 0.000 4.092 0.000 0.000 0.000 17.021" Properties=species:S:1:pos:R:3 pbc="T T T"
Ba 0.000 0.000 0.000
Ba 0.000 0.000 4.504
Ba 0.000 0.000 12.517
Tb 0.000 0.000 8.511
In 2.046 2.046 2.208
In 2.046 2.046 6.881
In 2.046 2.046 10.141
In 2.046 2.046 14.813
```